TlCoPO2 after structural relaxation, computed with PBE with a Hubbard U. Values from VASP.

- volume (Å³/atom) = 14.14
- ΔE to the lowest computed polymorph (meV per atom) = 0.0
- calculated total energy (eV/cell) = -23.1
- N(E_F) (states/eV per atom) = 0.531
- space group = P4/mmm, No. 123
- total magnetic moment (μB per cell) = 3.04

```
&SYSTEM
  ibrav = 0, nat = 5, ntyp = 4
/
ATOMIC_SPECIES
Tl 204.38 Tl.upf
Co 58.93 Co.upf
P 30.97 P.upf
O 16.00 O.upf
CELL_PARAMETERS angstrom
3.801 0.000 0.000
0.000 3.801 0.000
0.000 0.000 4.894
ATOMIC_POSITIONS crystal
Tl 0.000 0.000 0.000
Co 0.500 0.500 0.500
P 0.500 0.500 0.000
O 0.000 0.500 0.500
O 0.500 0.000 0.500
```